First-principles (PBE) data for a relaxed structure of PrEr5Sc, as listed in Alexandria.

Geometry as extended XYZ:
```
14
Lattice="-1.0367 6.7044 -1.2911 -7.5263 -2.6469 2.3229 3.5365 0.0643 7.5191" Properties=species:S:1:pos:R:3 pbc="T T T"
Pr -2.8327 4.1234 0.9954
Pr -2.1939 -0.0016 7.5555
Er -4.9380 1.2696 6.3510
Er -5.7146 2.2359 2.7256
Er 0.1423 -0.1621 3.2812
Er -2.2164 3.4720 7.1429
Er -0.3682 5.1062 4.9272
Er -4.6583 -0.9845 3.6238
Er -2.8101 0.6497 1.4081
Er -5.1688 4.2839 5.2697
Er 0.6881 1.8859 5.8254
Er -0.0886 2.8521 2.2000
Sc 0.0000 0.0000 0.0000
Sc -2.5133 2.0609 4.2755
```

Output
The value obtained for the calculated formation energy is 0.211 eV/atom. Its space group is No. 15. The value obtained for the calculated total energy is -4.636 eV/atom.


First-principles (PBE) data for a relaxed structure of Pr2Er4Sc3, as listed in Alexandria.

Geometry as extended XYZ:
```
18
Lattice="-0.0633 -4.8930 2.9967 9.8687 -4.5241 1.7592 4.2304 0.6750 10.1292" Properties=species:S:1:pos:R:3 pbc="T T T"
Pr 4.8865 -2.9825 6.9166
Pr 7.8831 -2.1162 8.3970
Pr 9.1494 -5.7595 7.9685
Pr 6.1528 -6.6259 6.4881
Er 10.1099 -6.2428 4.6318
Er 8.3930 -4.1426 2.1707
Er 3.9260 -2.4993 10.2533
Er 5.6429 -4.5994 12.7144
Er 3.1249 -0.9724 4.3921
Er 9.7099 -4.1865 10.8244
Er 10.9109 -7.7696 10.4930
Er 4.3259 -4.5555 4.0607
Sc 1.4165 -3.6159 5.4492
Sc 10.9406 -6.0538 13.3793
Sc 12.6193 -5.1261 9.4359
Sc 3.0952 -2.6882 1.5059
Sc 7.8960 -3.9428 5.4134
Sc 6.1399 -4.7992 9.4717
```

Output
The value obtained for the calculated formation energy is 0.114 eV/atom. Its space group is No. 15. The value obtained for the calculated total energy is -5.087 eV/atom.